ReGeMoO2 | PBE with a Hubbard U | optimized geometry

Computed properties:
The value obtained for the energy is -30.44 eV per cell. As for the space group: P4/mmm, No. 123.

Structure (POSCAR):
```
ReGeMoO2
1.0
3.639 0.000 0.000
0.000 3.639 0.000
0.000 0.000 6.793
Re Ge Mo O
1 1 1 2
Direct
0.000 0.000 0.000
0.500 0.500 0.500
0.500 0.500 0.000
0.000 0.500 0.500
0.500 0.000 0.500
```